# AsSe2OF GGA-PBE relaxed
data_AsSe2OF
_chemical_formula_sum 'As1 Se2 O1 F1'
_symmetry_space_group_name_H-M 'P 4/m m m'
_symmetry_Int_Tables_number 123
_symmetry_space_group_name_Hall '-P 4 2'
_cell_length_a 4.407
_cell_length_b 4.407
_cell_length_c 4.423
_cell_angle_alpha 90.00
_cell_angle_beta 90.00
_cell_angle_gamma 90.00
loop_
_atom_site_label
_atom_site_fract_x
_atom_site_fract_y
_atom_site_fract_z
As1 0.000 0.000 0.000
Se1 0.000 0.500 0.500
O1 0.000 0.000 0.500
F1 0.500 0.500 0.000
# E_form (uncorrected): 313 meV per atom
# energy above the most stable polymorph in this dataset: 0 meV/atom
# calculated total energy: -16.9 eV per cell
# density: 5.18 Mg/m³

***

# Gd3Er GGA-PBE relaxed
data_Gd3Er
_chemical_formula_sum 'Gd12 Er4'
_symmetry_space_group_name_H-M 'F m -3 m'
_symmetry_Int_Tables_number 225
_symmetry_space_group_name_Hall '-F 4 2 3'
_cell_length_a 8.029
_cell_length_b 8.029
_cell_length_c 8.029
_cell_angle_alpha 90.00
_cell_angle_beta 90.00
_cell_angle_gamma 90.00
loop_
_atom_site_label
_atom_site_fract_x
_atom_site_fract_y
_atom_site_fract_z
Gd1 0.000 0.000 0.000
Gd2 0.250 0.250 0.250
Er1 0.000 0.000 0.500
# E_form: 0.38 eV per formula unit
# energy above the most stable polymorph in this dataset: 57 meV/atom
# calculated total energy: -185.7 eV per cell
# density: 8.20 Mg/m³

***

# Cr2Ge4Os GGA-PBE relaxed
data_Cr2Ge4Os
_chemical_formula_sum 'Cr4 Ge8 Os2'
_symmetry_space_group_name_H-M 'I 4/m m m'
_symmetry_Int_Tables_number 139
_symmetry_space_group_name_Hall '-I 4 2'
_cell_length_a 4.767
_cell_length_b 4.767
_cell_length_c 12.392
_cell_angle_alpha 90.00
_cell_angle_beta 90.00
_cell_angle_gamma 90.00
loop_
_atom_site_label
_atom_site_fract_x
_atom_site_fract_y
_atom_site_fract_z
Cr1 0.000 0.000 0.105
Ge1 0.000 0.000 0.300
Ge2 0.000 0.500 0.000
Os1 0.000 0.000 0.500
# E_form: 4.42 eV per formula unit
# calculated total energy: -89.1 eV per cell
# density: 6.90 Mg/m³

***

# CaCdIn2 GGA-PBE relaxed
data_CaCdIn2
_chemical_formula_sum 'Ca3 Cd3 In6'
_symmetry_space_group_name_H-M 'R 3 m'
_symmetry_Int_Tables_number 160
_symmetry_space_group_name_Hall 'R 3 -2"'
_cell_length_a 4.2952
_cell_length_b 4.2952
_cell_length_c 22.8374
_cell_angle_alpha 90.00
_cell_angle_beta 90.00
_cell_angle_gamma 120.00
loop_
_atom_site_label
_atom_site_fract_x
_atom_site_fract_y
_atom_site_fract_z
Ca1 0.0000 0.0000 0.0000
Cd1 0.0000 0.0000 0.1672
In1 0.0000 0.0000 0.4300
In2 0.0000 0.0000 0.5711
# E_form: -0.45 eV per formula unit
# calculated total energy: -26.5 eV per cell
# density: 5.22 Mg/m³

***

# Na12LiCd3 GGA-PBE relaxed
data_Na12LiCd3
_chemical_formula_sum 'Na12 Li1 Cd3'
_symmetry_space_group_name_H-M 'P 4/m m m'
_symmetry_Int_Tables_number 123
_symmetry_space_group_name_Hall '-P 4 2'
_cell_length_a 4.994
_cell_length_b 4.994
_cell_length_c 19.650
_cell_angle_alpha 90.00
_cell_angle_beta 90.00
_cell_angle_gamma 90.00
loop_
_atom_site_label
_atom_site_fract_x
_atom_site_fract_y
_atom_site_fract_z
Na1 0.000 0.000 0.000
Na2 0.000 0.000 0.247
Na3 0.000 0.000 0.500
Na4 0.000 0.500 0.124
Na5 0.000 0.500 0.371
Li1 0.500 0.500 0.500
Cd1 0.500 0.500 0.000
Cd2 0.500 0.500 0.248
# E_form: -0.27 eV per formula unit
# calculated total energy: -20.8 eV per cell
# density: 2.10 Mg/m³

***

# NiBiC GGA-PBE relaxed
data_NiBiC
_chemical_formula_sum 'Ni2 Bi2 C2'
_symmetry_space_group_name_H-M 'C 1 m 1'
_symmetry_Int_Tables_number 8
_cell_length_a 5.522
_cell_length_b 3.287
_cell_length_c 5.975
_cell_angle_alpha 90.00
_cell_angle_beta 110.20
_cell_angle_gamma 90.00
loop_
_symmetry_equiv_pos_as_xyz
'x,y,z'
'x,-y,z'
'x+1/2,y+1/2,z'
'x+1/2,-y+1/2,z'
loop_
_atom_site_label
_atom_site_fract_x
_atom_site_fract_y
_atom_site_fract_z
Ni1 0.000 0.000 0.000
Bi1 0.332 0.500 0.500
C1 0.182 0.500 0.054
# E_form: 2.56 eV per formula unit
# energy above the most stable polymorph in this dataset: 34 meV/atom
# calculated total energy: -32.6 eV per cell
# density: 9.13 Mg/m³

***

# PrY3Ni GGA-PBE relaxed
data_PrY3Ni
_chemical_formula_sum 'Pr1 Y3 Ni1'
_symmetry_space_group_name_H-M 'P m -3 m'
_symmetry_Int_Tables_number 221
_symmetry_space_group_name_Hall '-P 4 2 3'
_cell_length_a 5.365
_cell_length_b 5.365
_cell_length_c 5.365
_cell_angle_alpha 90.00
_cell_angle_beta 90.00
_cell_angle_gamma 90.00
loop_
_atom_site_label
_atom_site_fract_x
_atom_site_fract_y
_atom_site_fract_z
Pr1 0.000 0.000 0.000
Y1 0.000 0.500 0.500
Ni1 0.500 0.500 0.500
# E_form: -0.42 eV per formula unit
# energy above the most stable polymorph in this dataset: 23 meV/atom
# calculated total energy: -30.4 eV per cell
# density: 5.01 Mg/m³

***

# TiHBr3 GGA-PBE relaxed
data_TiHBr3
_chemical_formula_sum 'Ti4 H4 Br12'
_symmetry_space_group_name_H-M 'I m a 2'
_symmetry_Int_Tables_number 46
_cell_length_a 8.146
_cell_length_b 11.676
_cell_length_c 7.355
_cell_angle_alpha 90.00
_cell_angle_beta 90.00
_cell_angle_gamma 90.00
loop_
_symmetry_equiv_pos_as_xyz
'x,y,z'
'-x,-y,z'
'-x+1/2,y,z'
'x+1/2,-y,z'
'x+1/2,y+1/2,z+1/2'
'-x+1/2,-y+1/2,z+1/2'
'-x,y+1/2,z+1/2'
'x,-y+1/2,z+1/2'
loop_
_atom_site_label
_atom_site_fract_x
_atom_site_fract_y
_atom_site_fract_z
Ti1 0.250 0.236 0.000
H1 0.250 0.249 0.250
Br1 0.004 0.670 0.001
Br2 0.250 0.037 0.998
# energy above the most stable polymorph in this dataset: 43 meV/atom
# calculated total energy: -82.0 eV per cell
# density: 2.74 Mg/m³

***

# LaPr2In GGA-PBE relaxed
data_LaPr2In
_chemical_formula_sum 'La1 Pr2 In1'
_symmetry_space_group_name_H-M 'P 4/m m m'
_symmetry_Int_Tables_number 123
_symmetry_space_group_name_Hall '-P 4 2'
_cell_length_a 5.058
_cell_length_b 5.058
_cell_length_c 4.990
_cell_angle_alpha 90.00
_cell_angle_beta 90.00
_cell_angle_gamma 90.00
loop_
_atom_site_label
_atom_site_fract_x
_atom_site_fract_y
_atom_site_fract_z
La1 0.000 0.000 0.000
Pr1 0.000 0.500 0.500
In1 0.500 0.500 0.000
# E_form: -1.14 eV per formula unit
# energy above the most stable polymorph in this dataset: 0 meV/atom
# calculated total energy: -18.4 eV per cell
# density: 6.97 Mg/m³

***

# LiZr2Pb GGA-PBE relaxed
data_LiZr2Pb
_chemical_formula_sum 'Li2 Zr4 Pb2'
_symmetry_space_group_name_H-M 'C 1 2/m 1'
_symmetry_Int_Tables_number 12
_cell_length_a 5.669
_cell_length_b 10.188
_cell_length_c 3.191
_cell_angle_alpha 90.00
_cell_angle_beta 107.48
_cell_angle_gamma 90.00
loop_
_symmetry_equiv_pos_as_xyz
'x,y,z'
'-x,-y,-z'
'-x,y,-z'
'x,-y,z'
'x+1/2,y+1/2,z'
'-x+1/2,-y+1/2,-z'
'-x+1/2,y+1/2,-z'
'x+1/2,-y+1/2,z'
loop_
_atom_site_label
_atom_site_fract_x
_atom_site_fract_y
_atom_site_fract_z
Li1 0.000 0.000 0.000
Zr1 0.250 0.250 0.500
Pb1 0.000 0.500 0.000
# E_form: 0.10 eV per formula unit
# calculated total energy: -45.2 eV per cell
# density: 7.49 Mg/m³

***

# EuPu2C GGA-PBE relaxed
data_EuPu2C
_chemical_formula_sum 'Eu3 Pu6 C3'
_symmetry_space_group_name_H-M 'R -3 m'
_symmetry_Int_Tables_number 166
_symmetry_space_group_name_Hall '-R 3 2"'
_cell_length_a 3.5299
_cell_length_b 3.5299
_cell_length_c 27.8052
_cell_angle_alpha 90.00
_cell_angle_beta 90.00
_cell_angle_gamma 120.00
loop_
_atom_site_label
_atom_site_fract_x
_atom_site_fract_y
_atom_site_fract_z
Eu1 0.0000 0.0000 0.0000
Pu1 0.0000 0.0000 0.2175
C1 0.0000 0.0000 0.5000
# E_form: 0.47 eV per formula unit
# energy above the most stable polymorph in this dataset: 0 meV/atom
# calculated total energy: -143.1 eV per cell
# density: 10.82 Mg/m³

***

# MgBeIn2 GGA-PBE relaxed
data_MgBeIn2
_chemical_formula_sum 'Mg2 Be2 In4'
_symmetry_space_group_name_H-M 'C m m m'
_symmetry_Int_Tables_number 65
_symmetry_space_group_name_Hall '-C 2 2'
_cell_length_a 4.255
_cell_length_b 4.848
_cell_length_c 7.947
_cell_angle_alpha 90.00
_cell_angle_beta 90.00
_cell_angle_gamma 90.00
loop_
_atom_site_label
_atom_site_fract_x
_atom_site_fract_y
_atom_site_fract_z
Mg1 0.000 0.000 0.000
Be1 0.000 0.000 0.500
In1 0.000 0.500 0.288
# E_form: 1.08 eV per formula unit
# energy above the most stable polymorph in this dataset: 42 meV/atom
# calculated total energy: -19.4 eV per cell
# density: 5.33 Mg/m³

***

# TbEr7Mg4 GGA-PBE relaxed
data_TbEr7Mg4
_chemical_formula_sum 'Tb2 Er14 Mg8'
_symmetry_space_group_name_H-M 'C 1 2/m 1'
_symmetry_Int_Tables_number 12
_cell_length_a 14.948
_cell_length_b 5.696
_cell_length_c 9.612
_cell_angle_alpha 90.00
_cell_angle_beta 121.66
_cell_angle_gamma 90.00
loop_
_symmetry_equiv_pos_as_xyz
'x,y,z'
'-x,-y,-z'
'-x,y,-z'
'x,-y,z'
'x+1/2,y+1/2,z'
'-x+1/2,-y+1/2,-z'
'-x+1/2,y+1/2,-z'
'x+1/2,-y+1/2,z'
loop_
_atom_site_label
_atom_site_fract_x
_atom_site_fract_y
_atom_site_fract_z
Tb1 0.000 0.000 0.000
Er1 0.000 0.500 0.000
Er2 0.080 0.000 0.426
Er3 0.204 0.000 0.879
Er4 0.250 0.000 0.288
Mg1 0.042 0.500 0.698
Mg2 0.175 0.500 0.346
# E_form: 2.26 eV per formula unit
# calculated total energy: -81.4 eV per cell
# density: 6.80 Mg/m³